The following is a PBE calculation of BeCdRu2 after structural relaxation, from the Alexandria database.

Geometry as POSCAR:
```
BeCdRu2
1.0
-2.519 0.644 0.849
0.191 -1.359 -2.366
-0.486 -7.599 4.324
Ru Be Cd
2 1 1
direct
0.000 0.000 0.020 Ru
0.500 0.500 0.271 Ru
0.000 0.000 0.474 Be
0.500 0.500 0.735 Cd
```

Results
**Raw total energy**: -5.390 eV/atom
**Calculated volume**: 14.63 Å³ per atom
**Relative energy among the computed polymorphs**: 361 meV/atom
**Formation enthalpy at 0 K**: 0.41 eV per atom



The following is a PBE calculation of BeCdRu2 after structural relaxation, from the Alexandria database.

Geometry as POSCAR:
```
BeCdRu2
1.0
4.817 0.007 0.000
1.768 4.481 0.000
-3.293 -2.244 2.707
Ru Be Cd
2 1 1
direct
0.000 0.000 0.000 Ru
0.500 0.500 0.000 Ru
0.250 0.750 0.500 Be
0.750 0.250 0.500 Cd
```

Results
**Raw total energy**: -5.323 eV/atom
**Calculated volume**: 14.60 Å³ per atom
**Relative energy among the computed polymorphs**: 428 meV/atom
**Formation enthalpy at 0 K**: 0.48 eV per atom